# Pm4Y2ErSc, optimized geometry, DFT GGA-PBE
data_Pm4Y2ErSc
_chemical_formula_sum 'Pm4 Y2 Er1 Sc1'
_symmetry_space_group_name_H-M 'P m m m'
_symmetry_Int_Tables_number 47
_symmetry_space_group_name_Hall '-P 2 2'
_cell_length_a 5.0759
_cell_length_b 5.0860
_cell_length_c 9.9094
_cell_angle_alpha 90.00
_cell_angle_beta 90.00
_cell_angle_gamma 90.00
loop_
_atom_site_label
_atom_site_fract_x
_atom_site_fract_y
_atom_site_fract_z
Pm1 0.0000 0.0000 0.2454
Pm2 0.5000 0.5000 0.2457
Y1 0.0000 0.5000 0.0000
Y2 0.5000 0.0000 0.5000
Er1 0.0000 0.5000 0.5000
Sc1 0.5000 0.0000 0.0000
# Fermi-level density of states = 11.2 states/eV per cell
# calculated density = 6.3 Mg/m³
# energy of formation from the pure elements = 0.030 eV/atom

***

# AlTeOs2, optimized geometry, DFT GGA-PBE
data_AlTeOs2
_chemical_formula_sum 'Al2 Te2 Os4'
_symmetry_space_group_name_H-M 'I m m 2'
_symmetry_Int_Tables_number 44
_symmetry_space_group_name_Hall 'I 2 -2'
_cell_length_a 3.1104
_cell_length_b 4.4187
_cell_length_c 9.6090
_cell_angle_alpha 90.00
_cell_angle_beta 90.00
_cell_angle_gamma 90.00
loop_
_atom_site_label
_atom_site_fract_x
_atom_site_fract_y
_atom_site_fract_z
Al1 0.0000 0.0000 0.0000
Te1 0.0000 0.5000 0.2254
Os1 0.0000 0.0000 0.4936
Os2 0.0000 0.5000 0.7264
# Fermi-level density of states = 8.6 states/eV per cell
# energy above the lowest structure with this stoichiometry = 0.270 eV/atom
# calculated density = 13.5 Mg/m³
# formation energy (no corrections) = 0.54 eV/atom

***

# ScAlTc2Sb, optimized geometry, DFT GGA-PBE
data_ScAlTc2Sb
_chemical_formula_sum 'Sc1 Al1 Tc2 Sb1'
_symmetry_space_group_name_H-M 'P 4/m m m'
_symmetry_Int_Tables_number 123
_symmetry_space_group_name_Hall '-P 4 2'
_cell_length_a 4.7037
_cell_length_b 4.7037
_cell_length_c 4.9492
_cell_angle_alpha 90.00
_cell_angle_beta 90.00
_cell_angle_gamma 90.00
loop_
_atom_site_label
_atom_site_fract_x
_atom_site_fract_y
_atom_site_fract_z
Sc1 0.0000 0.0000 0.0000
Al1 0.0000 0.0000 0.5000
Tc1 0.0000 0.5000 0.0000
Sb1 0.5000 0.5000 0.5000
# Fermi-level density of states = 6.6 states/eV per cell
# calculated density = 5.9 Mg/m³
# formation energy (no corrections) = 1.39 eV/atom

***

# SrTaFeH2, optimized geometry, DFT GGA-PBE
data_SrTaFeH2
_chemical_formula_sum 'Sr1 Ta1 Fe1 H2'
_symmetry_space_group_name_H-M 'P 4/m m m'
_symmetry_Int_Tables_number 123
_symmetry_space_group_name_Hall '-P 4 2'
_cell_length_a 3.8477
_cell_length_b 3.8477
_cell_length_c 6.2057
_cell_angle_alpha 90.00
_cell_angle_beta 90.00
_cell_angle_gamma 90.00
loop_
_atom_site_label
_atom_site_fract_x
_atom_site_fract_y
_atom_site_fract_z
Sr1 0.0000 0.0000 0.0000
Ta1 0.0000 0.0000 0.5000
Fe1 0.5000 0.5000 0.0000
H1 0.0000 0.5000 0.5000
# Fermi-level density of states = 5.8 states/eV per cell
# calculated density = 5.9 Mg/m³
# energy = -4.405 eV/atom

***

no.,M_tot (μB per formula unit)
1,0.0
2,0.0
3,2.1
4,1.7